Entry 1:
First-principles (PBE) data for a relaxed ZnCu2Br crystal, as listed in Alexandria via LeMat-Bulk.

Structure (POSCAR):
```
ZnCu2Br
1.0
4.820 -0.003 -0.009
-2.593 4.691 0.024
-0.366 1.194 3.146
Cu Br Zn
2 1 1
direct
0.000 0.000 0.000
0.500 0.000 0.500
0.500 0.500 0.000
0.000 0.500 0.500
```

Its distance to the lowest polymorph of the same formula is 117 kJ/mol of formula units. The uncorrected formation energy comes out at 0.35 eV/atom. As for the volume: 17.7 A^3/atom.

---

Entry 2:
First-principles (PBE) data for a relaxed BaTiSi2Sb crystal, as listed in Alexandria via LeMat-Bulk.

Structure (POSCAR):
```
BaTiSi2Sb
1.0
5.397 0.000 0.000
0.000 5.204 0.000
0.000 0.000 5.397
Ti Ba Si Sb
1 1 2 1
direct
0.000 0.500 0.000
0.500 0.500 0.500
0.000 0.000 0.500
0.500 0.000 0.000
0.000 0.000 0.000
```

The uncorrected formation energy comes out at 0.60 eV/atom. As for the volume: 30.3 A^3/atom.

---

Entry 3:
First-principles (PBE) data for a relaxed Tl3Zn6Sb5 crystal, as listed in Alexandria via LeMat-Bulk.

Structure (POSCAR):
```
Tl3Zn6Sb5
1.0
4.535 0.000 0.000
0.000 11.704 0.000
0.000 0.000 13.679
Tl Zn Sb
6 12 10
direct
0.500 0.734 0.856
0.500 0.760 0.500
0.000 0.266 0.644
0.500 0.734 0.144
0.000 0.240 0.000
0.000 0.266 0.356
0.000 0.626 0.696
0.500 0.017 0.000
0.500 0.374 0.196
0.000 0.484 0.500
0.000 0.626 0.304
0.500 0.374 0.804
0.000 0.010 0.834
0.000 0.010 0.166
0.000 0.983 0.500
0.500 0.990 0.666
0.500 0.516 0.000
0.500 0.990 0.334
0.500 0.504 0.366
0.000 0.855 0.323
0.500 0.504 0.634
0.500 0.145 0.177
0.000 0.855 0.677
0.000 0.879 0.000
0.500 0.121 0.500
0.000 0.496 0.866
0.500 0.145 0.823
0.000 0.496 0.134
```

The uncorrected formation energy comes out at 0.01 eV/atom. As for the volume: 25.9 A^3/atom.

---

Entry 4:
First-principles (PBE) data for a relaxed Li3Np4S8 crystal, as listed in Alexandria via LeMat-Bulk.

Structure (POSCAR):
```
Li3Np4S8
1.0
-6.321 1.618 -4.252
-0.790 -2.526 7.266
4.631 5.730 2.349
Li S Np
3 8 4
direct
0.500 0.500 0.000
0.500 0.500 0.500
0.500 0.000 0.500
0.998 0.748 0.748
0.000 0.755 0.245
0.519 0.763 0.763
0.500 0.249 0.751
0.000 0.245 0.755
0.500 0.751 0.249
0.002 0.252 0.252
0.481 0.237 0.237
0.000 0.000 0.500
0.000 0.500 0.000
0.000 0.000 0.000
0.500 0.000 0.000
```

The uncorrected formation energy comes out at -1.33 eV/atom. As for the volume: 21.8 A^3/atom.

---

Entry 5:
First-principles (PBE) data for a relaxed LiNi5 crystal, as listed in Alexandria via LeMat-Bulk.

Structure (POSCAR):
```
LiNi5
1.0
5.566 0.005 0.000
-4.449 3.346 0.000
0.000 0.000 3.501
Ni Li
5 1
direct
0.805 0.195 0.500
0.641 0.359 0.000
0.304 0.696 0.000
0.140 0.860 0.500
0.472 0.528 0.500
0.972 0.028 0.000
```

Its distance to the lowest polymorph of the same formula is 8 kJ/mol of formula units. The formation enthalpy at 0 K comes out at 19 meV/atom. As for the volume: 10.9 A^3/atom.

---

Entry 6:
First-principles (PBE) data for a relaxed BeCr2Fe crystal, as listed in Alexandria via LeMat-Bulk.

Structure (POSCAR):
```
BeCr2Fe
1.0
-1.974 -1.164 3.506
-1.830 -3.105 2.134
3.775 -1.192 2.083
Be Fe Cr
1 1 2
direct
0.247 0.247 0.253
0.506 0.506 0.485
0.755 0.755 0.752
0.993 0.993 0.010
```

The formation enthalpy at 0 K comes out at 112 meV/atom. As for the volume: 10.7 A^3/atom.

---

Entry 7:
First-principles (PBE) data for a relaxed Na4CdIn2Ag2 crystal, as listed in Alexandria via LeMat-Bulk.

Structure (POSCAR):
```
Na4CdIn2Ag2
1.0
5.527 1.536 -0.343
0.891 7.438 0.977
-3.480 -3.906 5.553
Cd In Na Ag
1 2 4 2
direct
0.000 0.000 0.000
0.118 0.558 0.895
0.882 0.442 0.105
0.420 0.747 0.763
0.580 0.253 0.237
0.659 0.768 0.436
0.341 0.232 0.564
0.003 0.851 0.294
0.997 0.149 0.706
```

The formation enthalpy at 0 K comes out at -89 meV/atom. As for the volume: 25.4 A^3/atom.

---

Entry 8:
First-principles (PBE) data for a relaxed Sr2LiW crystal, as listed in Alexandria via LeMat-Bulk.

Structure (POSCAR):
```
Sr2LiW
1.0
6.279 0.019 0.000
2.531 5.747 0.000
-4.405 -2.883 3.423
Sr W Li
2 1 1
direct
0.000 0.000 0.000
0.250 0.750 0.500
0.500 0.500 0.000
0.750 0.250 0.500
```

Its distance to the lowest polymorph of the same formula is 79 kJ/mol of formula units. The formation enthalpy at 0 K comes out at 1100 meV/atom. As for the volume: 30.8 A^3/atom.

---

Entry 9:
First-principles (PBE) data for a relaxed TbDyCu4 crystal, as listed in Alexandria via LeMat-Bulk.

Structure (POSCAR):
```
TbDyCu4
1.0
5.264 0.000 0.000
2.632 4.559 0.000
2.632 1.520 4.298
Dy Cu Tb
1 4 1
direct
0.250 0.250 0.250
0.625 0.125 0.625
0.125 0.625 0.625
0.625 0.625 0.625
0.625 0.625 0.125
0.000 0.000 0.000
```

Its distance to the lowest polymorph of the same formula is 61 kJ/mol of formula units. The formation enthalpy at 0 K comes out at -168 meV/atom. As for the volume: 17.2 A^3/atom.

---

Entry 10:
First-principles (PBE) data for a relaxed IrC2F2 crystal, as listed in Alexandria via LeMat-Bulk.

Structure (POSCAR):
```
IrC2F2
1.0
-1.225 -2.923 -0.941
-0.653 -0.742 3.155
-5.069 0.033 0.691
F C Ir
2 2 1
direct
0.250 0.750 0.500
0.750 0.250 0.500
0.426 0.426 0.148
0.574 0.574 0.852
0.000 0.000 0.000
```

Its distance to the lowest polymorph of the same formula is 358 kJ/mol of formula units. The uncorrected formation energy comes out at 1.61 eV/atom. As for the volume: 9.9 A^3/atom.

---

Entry 11:
First-principles (PBE) data for a relaxed LiSiI3 crystal, as listed in Alexandria via LeMat-Bulk.

Structure (POSCAR):
```
LiSiI3
1.0
-0.382 -1.393 5.538
-2.201 -5.085 -1.431
5.269 -2.225 -0.196
Li I Si
1 3 1
direct
0.500 0.500 0.500
0.000 0.500 0.000
0.500 0.000 0.000
0.000 0.000 0.500
0.000 0.000 0.000
```

Its distance to the lowest polymorph of the same formula is 0 kJ/mol of formula units. The uncorrected formation energy comes out at -0.26 eV/atom. As for the volume: 37.5 A^3/atom.

---

Entry 12:
First-principles (PBE) data for a relaxed CsBaH6Au3 crystal, as listed in Alexandria via LeMat-Bulk.

Structure (POSCAR):
```
CsBaH6Au3
1.0
-5.616 1.272 -3.124
0.520 -6.526 0.231
-4.329 1.650 4.632
Cs H Au Ba
1 6 3 1
direct
0.498 0.502 0.498
0.330 0.402 0.049
0.049 0.670 0.598
0.893 0.586 0.091
0.414 0.909 0.893
0.598 0.951 0.330
0.091 0.107 0.414
0.077 0.881 0.490
0.119 0.510 0.077
0.490 0.923 0.119
0.011 0.989 0.011
```

As for the electronic total energy: -3.23 eV/atom. As for the volume: 23.0 A^3/atom.

---

Entry 13:
First-principles (PBE) data for a relaxed In2NiP crystal, as listed in Alexandria via LeMat-Bulk.

Structure (POSCAR):
```
In2NiP
1.0
2.023 -4.661 0.000
2.023 4.661 0.000
0.000 0.000 4.020
In P Ni
2 1 1
direct
0.596 0.404 0.500
0.901 0.099 0.000
0.301 0.699 0.500
0.189 0.811 0.000
```

The formation enthalpy at 0 K comes out at -80 meV/atom. As for the volume: 19.0 A^3/atom.

---

Entry 14:
First-principles (PBE) data for a relaxed Zr3TaSi crystal, as listed in Alexandria via LeMat-Bulk.

Structure (POSCAR):
```
Zr3TaSi
1.0
-1.969 3.670 2.890
-4.657 -1.298 -1.524
-0.363 -3.247 3.876
Zr Si Ta
3 1 1
direct
0.000 0.500 0.000
0.500 0.000 0.000
0.000 0.000 0.500
0.500 0.500 0.500
0.000 0.000 0.000
```

Its distance to the lowest polymorph of the same formula is 300 kJ/mol of formula units. The uncorrected formation energy comes out at 1.09 eV/atom. As for the volume: 26.0 A^3/atom.

---

Entry 15:
First-principles (PBE) data for a relaxed TlSb5S8 crystal, as listed in Alexandria via LeMat-Bulk.

Structure (POSCAR):
```
TlSb5S8
1.0
8.555 0.002 0.000
0.043 9.173 0.000
0.000 0.000 19.665
S Sb Tl
32 20 4
direct
0.453 0.763 0.323
0.329 0.219 0.507
0.067 0.495 0.037
0.755 0.417 0.293
0.834 0.816 0.084
0.334 0.316 0.916
0.966 0.464 0.832
0.829 0.719 0.493
0.267 0.715 0.540
0.094 0.688 0.229
0.291 0.536 0.722
0.141 0.305 0.198
0.278 0.729 0.888
0.466 0.964 0.168
0.111 0.087 0.017
0.477 0.552 0.163
0.567 0.995 0.963
0.102 0.505 0.405
0.907 0.667 0.659
0.778 0.229 0.112
0.767 0.215 0.460
0.108 0.919 0.398
0.594 0.188 0.771
0.641 0.805 0.802
0.255 0.917 0.707
0.953 0.263 0.677
0.608 0.419 0.602
0.977 0.052 0.837
0.791 0.036 0.278
0.407 0.167 0.341
0.602 0.005 0.595
0.611 0.587 0.983
0.433 0.210 0.631
0.477 0.536 0.871
0.623 0.765 0.215
0.030 0.553 0.542
0.096 0.708 0.770
0.530 0.053 0.458
0.934 0.471 0.154
0.424 0.734 0.649
0.759 0.456 0.714
0.977 0.036 0.129
0.924 0.234 0.351
0.123 0.265 0.785
0.272 0.308 0.044
0.772 0.808 0.956
0.259 0.956 0.286
0.797 0.016 0.735
0.933 0.710 0.369
0.297 0.516 0.265
0.596 0.208 0.230
0.434 0.971 0.846
0.508 0.502 0.450
0.008 0.002 0.550
0.308 0.773 0.052
0.808 0.273 0.948
```

Its distance to the lowest polymorph of the same formula is 0 kJ/mol of formula units. The uncorrected formation energy comes out at -0.27 eV/atom. As for the volume: 27.6 A^3/atom.

---

Entry 16:
First-principles (PBE) data for a relaxed BTeMoI2 crystal, as listed in Alexandria via LeMat-Bulk.

Structure (POSCAR):
```
BTeMoI2
1.0
-1.237 0.829 4.741
3.701 -2.965 1.484
3.183 4.035 0.124
I B Mo Te
2 1 1 1
direct
0.000 0.500 0.000
0.500 0.000 0.000
0.000 0.000 0.000
0.500 0.500 0.500
0.000 0.000 0.500
```

Its distance to the lowest polymorph of the same formula is 10 kJ/mol of formula units. The uncorrected formation energy comes out at 1.30 eV/atom. As for the volume: 25.4 A^3/atom.

---

Entry 17:
First-principles (PBE) data for a relaxed Er3GaSb crystal, as listed in Alexandria via LeMat-Bulk.

Structure (POSCAR):
```
Er3GaSb
1.0
4.113 0.487 -0.734
-1.124 9.368 -0.088
-2.383 -4.171 7.988
Sb Er Ga
2 6 2
direct
0.002 0.279 0.752
0.998 0.721 0.248
0.086 0.995 0.836
0.307 0.379 0.557
0.196 0.653 0.946
0.693 0.621 0.443
0.914 0.005 0.164
0.804 0.347 0.054
0.498 0.258 0.248
0.502 0.742 0.752
```

The uncorrected formation energy comes out at -0.55 eV/atom. As for the volume: 29.1 A^3/atom.